VASP calculation (PBE with a Hubbard U) on a geometry-optimized NaLi2WF6 structure.

Values from the calculation:
The total energy comes out at -5.13 eV per atom. Its magnetization is 3.0 Bohr magnetons per cell.

Cell lengths 5.4339, 5.4351, 5.8768 Å; angles 62.30, 62.50, 60.00 degrees
Site moments in Bohr magnetons follow the coordinates.
Atoms (fractional coordinates):
F 0.9109 0.5896 0.2541  0.02
F 0.7261 0.1160 0.7781  0.02
F 0.1136 0.3788 0.7798  0.02
F 0.5896 0.2462 0.2542  0.02
F 0.2467 0.9095 0.2555  0.02
F 0.3787 0.7280 0.7790  0.02
Na 0.8126 0.8125 0.5625  0.00
Li 0.5387 0.5359 0.3885  0.00
Li 0.0244 0.0248 0.9244  0.00
W 0.3202 0.3203 0.0391  2.81